Below is crystalline PrNbNO at its relaxed geometry, with properties calculated at the PBE level. Values from VASP.

Geometry as Quantum ESPRESSO input:
```
&SYSTEM
  ibrav = 0, nat = 8, ntyp = 4
/
ATOMIC_SPECIES
O 16.00 O.upf
Pr 140.91 Pr.upf
Nb 92.91 Nb.upf
N 14.01 N.upf
ATOMIC_POSITIONS crystal
O 0.2500 0.7500 0.0000
Pr 0.7500 0.7500 0.8614
Pr 0.2500 0.2500 0.1386
Nb 0.2500 0.7500 0.5000
Nb 0.7500 0.2500 0.5000
N 0.2500 0.2500 0.5763
O 0.7500 0.2500 0.0000
N 0.7500 0.7500 0.4237
CELL_PARAMETERS angstrom
4.0664 0.0000 0.0000
0.0000 4.0664 0.0000
0.0000 0.0000 8.4736
```

=====

Below is crystalline PrNbNO at its relaxed geometry, with properties calculated at the PBE level. Values from VASP.

Geometry as Quantum ESPRESSO input:
```
&SYSTEM
  ibrav = 0, nat = 8, ntyp = 4
/
ATOMIC_SPECIES
N 14.01 N.upf
O 16.00 O.upf
Pr 140.91 Pr.upf
Nb 92.91 Nb.upf
ATOMIC_POSITIONS crystal
N 0.0000 0.0008 0.3209
O 0.5000 0.2523 0.0011
N 0.0000 0.5008 0.6791
Pr 0.0000 0.5003 0.2325
Nb 0.5000 0.0006 0.2901
Pr 0.0000 0.0003 0.7675
Nb 0.5000 0.5006 0.7099
O 0.5000 0.7523 0.9989
CELL_PARAMETERS angstrom
1.6104 3.3386 1.6837
-0.7562 -2.0703 4.8285
5.0633 -2.3368 -0.2090
```

=====

Below is crystalline RbNbNO at its relaxed geometry, with properties calculated at the PBE level. Values from VASP.

Geometry as Quantum ESPRESSO input:
```
&SYSTEM
  ibrav = 0, nat = 8, ntyp = 4
/
ATOMIC_SPECIES
N 14.01 N.upf
Rb 85.47 Rb.upf
O 16.00 O.upf
Nb 92.91 Nb.upf
ATOMIC_POSITIONS crystal
N 0.7500 0.7500 0.2870
Rb 0.2500 0.7500 0.5000
N 0.2500 0.2500 0.7130
O 0.7500 0.2500 0.0000
Nb 0.7500 0.7500 0.0559
O 0.2500 0.7500 0.0000
Rb 0.7500 0.2500 0.5000
Nb 0.2500 0.2500 0.9441
CELL_PARAMETERS angstrom
-1.0644 -0.7245 -4.1926
3.3868 -2.7602 -0.3829
-4.5092 -5.8316 2.1525
```

=====

Below is crystalline RbNbNO at its relaxed geometry, with properties calculated at the PBE level. Values from VASP.

Geometry as Quantum ESPRESSO input:
```
&SYSTEM
  ibrav = 0, nat = 8, ntyp = 4
/
ATOMIC_SPECIES
Rb 85.47 Rb.upf
N 14.01 N.upf
O 16.00 O.upf
Nb 92.91 Nb.upf
ATOMIC_POSITIONS crystal
Rb 0.0000 0.4858 0.3490
N 0.0000 0.4618 0.7458
O 0.5000 0.8128 0.9098
O 0.5000 0.3128 0.0902
Nb 0.5000 0.9936 0.1258
Rb 0.0000 0.9858 0.6510
Nb 0.5000 0.4936 0.8742
N 0.0000 0.9618 0.2542
CELL_PARAMETERS angstrom
0.4784 2.0219 2.7673
2.9117 -4.6901 2.9234
6.4126 2.2605 -2.7603
```

=====

Below is crystalline RbNbNO at its relaxed geometry, with properties calculated at the PBE level. Values from VASP.

Geometry as Quantum ESPRESSO input:
```
&SYSTEM
  ibrav = 0, nat = 8, ntyp = 4
/
ATOMIC_SPECIES
N 14.01 N.upf
Rb 85.47 Rb.upf
Nb 92.91 Nb.upf
O 16.00 O.upf
ATOMIC_POSITIONS crystal
N 0.7500 0.7500 0.4423
Rb 0.7500 0.7500 0.8413
Nb 0.7500 0.2500 0.5000
Rb 0.2500 0.2500 0.1587
N 0.2500 0.2500 0.5577
Nb 0.2500 0.7500 0.5000
O 0.7500 0.2500 0.0000
O 0.2500 0.7500 0.0000
CELL_PARAMETERS angstrom
4.0043 0.0000 0.0000
0.0000 4.0043 0.0000
0.0000 0.0000 11.0529
```

=====

Below is crystalline RbNbNO at its relaxed geometry, with properties calculated at the PBE level. Values from VASP.

Geometry as Quantum ESPRESSO input:
```
&SYSTEM
  ibrav = 0, nat = 8, ntyp = 4
/
ATOMIC_SPECIES
N 14.01 N.upf
Rb 85.47 Rb.upf
Nb 92.91 Nb.upf
O 16.00 O.upf
ATOMIC_POSITIONS crystal
N 0.5000 0.0000 0.7485
Rb 0.5000 0.5000 0.5000
Nb 0.0000 0.5000 0.8681
Rb 0.0000 0.0000 0.5000
N 0.0000 0.5000 0.2515
O 0.5000 0.5000 0.0000
O 0.0000 0.0000 0.0000
Nb 0.5000 0.0000 0.1319
CELL_PARAMETERS angstrom
3.6628 0.0000 0.0000
0.0000 3.6628 0.0000
0.0000 0.0000 8.5764
```

=====

no.,uncorrected energy (eV/f.u.),offset from the most stable computed form (meV per atom)
1,-34.733,123
2,-34.518,177
3,-28.117,255
4,-28.933,51
5,-25.204,984
6,-23.534,1401